# Mg5Cd5In, relaxed, DFT PBE
data_Mg5Cd5In
_chemical_formula_sum 'Mg5 Cd5 In1'
_cell_length_a 5.4524
_cell_length_b 5.4524
_cell_length_c 10.4826
_cell_angle_alpha 90.00
_cell_angle_beta 90.00
_cell_angle_gamma 120.00
_space_group_name_H-M_alt 'P -6 m 2'
_space_group_IT_number 187
_space_group_name_Hall 'P -6 2'
loop_
_atom_site_label
_atom_site_type_symbol
_atom_site_fract_x
_atom_site_fract_y
_atom_site_fract_z
Mg1 Mg 0.0000 0.0000 0.0000
Mg2 Mg 0.3333 0.6667 0.3266
Mg3 Mg 0.6667 0.3333 0.1587
Cd1 Cd 0.0000 0.0000 0.2567
Cd2 Cd 0.3370 0.1685 0.5000
In1 In 0.3333 0.6667 0.0000
# raw total energy: -1.330 eV per atom
# DFT formation energy: 0.06 eV per atom
# N(E_F): 6.31 states/eV/cell